(1)
Here is a geometry-optimized NaTa2S structure from the Alexandria database. Energies are from GGA-PBEsol.

It has space group I-42d (No. 122), with a = 3.813 Å, b = 3.813 Å, c = 19.692 Å, α = 90.00°, β = 90.00° and γ = 90.00°. The asymmetric unit holds Na at (0.000, 0.000, 0.000), Ta at (0.234, 0.750, 0.625) and S at (0.000, 0.000, 0.500).

The value obtained for the uncorrected formation energy is 0.543 eV per atom. The final energy comes out at -7.1782 eV per atom.

---

(2)
Here is a geometry-optimized CuAgPt2 structure from the Alexandria database. Energies are from GGA-PBEsol.

It has space group P4/mmm (No. 123), with a = 2.748 Å, b = 2.748 Å, c = 7.659 Å, α = 90.00°, β = 90.00° and γ = 90.00°. The asymmetric unit holds Cu at (0.000, 0.000, 0.000), Ag at (0.000, 0.000, 0.500) and Pt at (0.500, 0.500, 0.229).

The offset from the most stable computed form comes out at 73 meV per atom. The final energy comes out at -5.4175 eV per atom. As for the formation energy from the elements: -0.024 eV per atom.

---

(3)
Here is a geometry-optimized FeRe2Se structure from the Alexandria database. Energies are from GGA-PBEsol.

It has space group Cmm2 (No. 35), with a = 2.964 Å, b = 4.533 Å, c = 8.795 Å, α = 90.00°, β = 90.00° and γ = 90.00°. The asymmetric unit holds Fe at (0.000, 0.000, 0.000), Re at (0.000, 0.000, 0.522), Re at (0.000, 0.500, 0.764) and Se at (0.000, 0.500, 0.233).

The value obtained for the uncorrected formation energy is 0.529 eV per atom. The final energy comes out at -9.3401 eV per atom.

---

(4)
Here is a geometry-optimized BeH4N2 structure from the Alexandria database. Energies are from GGA-PBEsol.

It has space group I4_1/acd (No. 142, origin choice 2), with a = 9.988 Å, b = 9.988 Å, c = 16.052 Å, α = 90.00°, β = 90.00° and γ = 90.00°. The asymmetric unit holds Be at (0.076, 0.127, 0.311), H at (0.005, 0.012, 0.086), H at (0.045, 0.183, 0.538), H at (0.107, 0.000, 0.657), H at (0.201, 0.035, 0.040), N at (0.000, 0.250, 0.251), N at (0.042, 0.057, 0.877) and N at (0.150, 0.000, 0.250).

The final energy comes out at -5.5189 eV per atom.

---

(5)
Here is a geometry-optimized Cs2KYI6 structure from the Alexandria database. Energies are from GGA-PBEsol.

It has space group Fm-3m (No. 225), with a = 12.494 Å, b = 12.494 Å, c = 12.494 Å, α = 90.00°, β = 90.00° and γ = 90.00°. The asymmetric unit holds Cs at (0.250, 0.250, 0.250), K at (0.000, 0.000, 0.000), Y at (0.000, 0.000, 0.500) and I at (0.000, 0.000, 0.262).

The value obtained for the uncorrected formation energy is -1.457 eV per atom. The final energy comes out at -3.5015 eV per atom.

---

(6)
Here is a geometry-optimized CoBPd2Br structure from the Alexandria database. Energies are from GGA-PBEsol.

It has space group P4/mmm (No. 123), with a = 4.667 Å, b = 4.667 Å, c = 4.047 Å, α = 90.00°, β = 90.00° and γ = 90.00°. The asymmetric unit holds Co at (0.000, 0.000, 0.000), B at (0.500, 0.500, 0.000), Pd at (0.000, 0.500, 0.500) and Br at (0.500, 0.500, 0.500).

The value obtained for the uncorrected formation energy is 1.768 eV per atom. The final energy comes out at -3.9397 eV per atom.

---

(7)
Here is a geometry-optimized Be2AgP structure from the Alexandria database. Energies are from GGA-PBEsol.

It has space group Pmm2 (No. 25), with a = 2.713 Å, b = 3.323 Å, c = 5.529 Å, α = 90.00°, β = 90.00° and γ = 90.00°. The asymmetric unit holds Be at (0.000, 0.000, 0.000), Be at (0.500, 0.500, 0.219), Ag at (0.500, 0.500, 0.776) and P at (0.000, 0.000, 0.390).

The final energy comes out at -4.0475 eV per atom. As for the formation energy from the elements: 0.228 eV per atom.

---

(8)
Here is a geometry-optimized CrAg2P structure from the Alexandria database. Energies are from GGA-PBEsol.

It has space group Immm (No. 71), with a = 2.978 Å, b = 3.571 Å, c = 12.063 Å, α = 90.00°, β = 90.00° and γ = 90.00°. The asymmetric unit holds Cr at (0.000, 0.000, 0.000), Ag at (0.000, 0.500, 0.185) and P at (0.000, 0.000, 0.500).

The final energy comes out at -5.4829 eV per atom. As for the formation energy from the elements: 0.181 eV per atom.

---

(9)
Here is a geometry-optimized ScAlCl2 structure from the Alexandria database. Energies are from GGA-PBEsol.

It has space group R-3m (No. 166, hexagonal axes), with a = 3.3997 Å, b = 3.3997 Å, c = 27.8092 Å, α = 90.00°, β = 90.00° and γ = 120.00°. The asymmetric unit holds Sc at (0.0000, 0.0000, 0.0000), Al at (0.0000, 0.0000, 0.5000) and Cl at (0.0000, 0.0000, 0.0855).

The offset from the most stable computed form comes out at 326 meV per atom. The value obtained for the uncorrected formation energy is -0.639 eV per atom. The final energy comes out at -4.3172 eV per atom.

---

(10)
Here is a geometry-optimized MnCdMo2 structure from the Alexandria database. Energies are from GGA-PBEsol.

It has space group Pm (No. 6), with a = 2.666 Å, b = 4.340 Å, c = 5.429 Å, α = 90.00°, β = 100.18° and γ = 90.00°. The asymmetric unit holds Mn at (0.000, 0.000, 0.000), Cd at (0.195, 0.500, 0.733), Mo at (0.542, 0.000, 0.456) and Mo at (0.744, 0.500, 0.222).

The final energy comes out at -8.2247 eV per atom. As for the formation energy from the elements: 0.399 eV per atom.

---

(11)
Here is a geometry-optimized Sc2ReRh structure from the Alexandria database. Energies are from GGA-PBEsol.

It has space group Pm (No. 6), with a = 2.841 Å, b = 4.598 Å, c = 5.192 Å, α = 90.00°, β = 102.47° and γ = 90.00°. The asymmetric unit holds Sc at (0.000, 0.000, 0.000), Sc at (0.227, 0.500, 0.695), Re at (0.682, 0.500, 0.210) and Rh at (0.533, 0.000, 0.486).

The final energy comes out at -8.8667 eV per atom. As for the formation energy from the elements: -0.196 eV per atom.

---

(12)
Here is a geometry-optimized Y2HgOs structure from the Alexandria database. Energies are from GGA-PBEsol.

It has space group C2/m (No. 12), with a = 7.342 Å, b = 3.415 Å, c = 7.825 Å, α = 90.00°, β = 100.10° and γ = 90.00°. The asymmetric unit holds Y at (0.245, 0.000, 0.208), Hg at (0.000, 0.000, 0.500) and Os at (0.000, 0.500, 0.000).

The final energy comes out at -6.7135 eV per atom. As for the formation energy from the elements: -0.107 eV per atom.

---

(13)
Here is a geometry-optimized TaTlCl2 structure from the Alexandria database. Energies are from GGA-PBEsol.

It has space group Pmm2 (No. 25), with a = 3.070 Å, b = 3.937 Å, c = 6.918 Å, α = 90.00°, β = 90.00° and γ = 90.00°. The asymmetric unit holds Ta at (0.000, 0.000, 0.000), Tl at (0.500, 0.500, 0.333), Cl at (0.000, 0.000, 0.656) and Cl at (0.500, 0.500, 0.906).

The offset from the most stable computed form comes out at 426 meV per atom. The value obtained for the uncorrected formation energy is -0.145 eV per atom. The final energy comes out at -4.9439 eV per atom.

---

(14)
Here is a geometry-optimized ZrAlCu2 structure from the Alexandria database. Energies are from GGA-PBEsol.

It has space group Cmcm (No. 63), with a = 4.093 Å, b = 9.790 Å, c = 6.005 Å, α = 90.00°, β = 90.00° and γ = 90.00°. The asymmetric unit holds Zr at (0.000, 0.084, 0.250), Al at (0.000, 0.203, 0.750) and Cu at (0.000, 0.378, 0.050).

The final energy comes out at -5.7436 eV per atom. As for the formation energy from the elements: -0.281 eV per atom.

---

(15)
Here is a geometry-optimized LiCuAg structure from the Alexandria database. Energies are from GGA-PBEsol.

It has space group I4mm (No. 107), with a = 2.735 Å, b = 2.735 Å, c = 11.208 Å, α = 90.00°, β = 90.00° and γ = 90.00°. The asymmetric unit holds Li at (0.000, 0.000, 0.000), Cu at (0.000, 0.000, 0.342) and Ag at (0.000, 0.000, 0.677).

The offset from the most stable computed form comes out at 45 meV per atom. The final energy comes out at -3.2006 eV per atom. As for the formation energy from the elements: 0.003 eV per atom.

---

(16)
Here is a geometry-optimized Pr3Ni structure from the Alexandria database. Energies are from GGA-PBEsol.

It has space group Pnma (No. 62), with a = 6.980 Å, b = 9.887 Å, c = 6.427 Å, α = 90.00°, β = 90.00° and γ = 90.00°. The asymmetric unit holds Pr at (0.033, 0.250, 0.144), Pr at (0.175, 0.066, 0.672) and Ni at (0.115, 0.750, 0.429).

The final energy comes out at -5.5712 eV per atom. As for the formation energy from the elements: -0.143 eV per atom.

---

(17)
Here is a geometry-optimized SmCdGa structure from the Alexandria database. Energies are from GGA-PBEsol.

It has space group P-62m (No. 189), with a = 7.2344 Å, b = 7.2344 Å, c = 4.3807 Å, α = 90.00°, β = 90.00° and γ = 120.00°. The asymmetric unit holds Sm at (0.0000, 0.5784, 0.0000), Cd at (0.0000, 0.2479, 0.5000), Ga at (0.0000, 0.0000, 0.0000) and Ga at (0.3333, 0.6667, 0.5000).

The final energy comes out at -3.7788 eV per atom. As for the formation energy from the elements: -0.569 eV per atom.

---

(18)
Here is a geometry-optimized BeCdAs structure from the Alexandria database. Energies are from GGA-PBEsol.

It has space group Fmm2 (No. 42), with a = 3.640 Å, b = 4.745 Å, c = 11.802 Å, α = 90.00°, β = 90.00° and γ = 90.00°. The asymmetric unit holds Be at (0.000, 0.000, 0.000), Cd at (0.000, 0.000, 0.659) and As at (0.000, 0.000, 0.383).

The final energy comes out at -3.0999 eV per atom. As for the formation energy from the elements: 0.335 eV per atom.

---

(19)
Here is a geometry-optimized InW structure from the Alexandria database. Energies are from GGA-PBEsol.

It has space group Imma (No. 74), with a = 3.381 Å, b = 4.690 Å, c = 9.186 Å, α = 90.00°, β = 90.00° and γ = 90.00°. The asymmetric unit holds In at (0.000, 0.250, 0.115) and W at (0.000, 0.250, 0.646).

The offset from the most stable computed form comes out at 166 meV per atom. The final energy comes out at -7.8032 eV per atom. As for the formation energy from the elements: 0.592 eV per atom.

---

(20)
Here is a geometry-optimized Cr2HgPb structure from the Alexandria database. Energies are from GGA-PBEsol.

It has space group P4/mmm (No. 123), with a = 3.347 Å, b = 3.347 Å, c = 6.866 Å, α = 90.00°, β = 90.00° and γ = 90.00°. The asymmetric unit holds Cr at (0.000, 0.000, 0.230), Hg at (0.500, 0.500, 0.000) and Pb at (0.500, 0.500, 0.500).

The final energy comes out at -5.6276 eV per atom. As for the formation energy from the elements: 0.635 eV per atom.

---

(21)
Here is a geometry-optimized MnBeRh2 structure from the Alexandria database. Energies are from GGA-PBEsol.

It has space group P4/mmm (No. 123), with a = 3.996 Å, b = 3.996 Å, c = 2.957 Å, α = 90.00°, β = 90.00° and γ = 90.00°. The asymmetric unit holds Mn at (0.000, 0.000, 0.000), Be at (0.500, 0.500, 0.000) and Rh at (0.000, 0.500, 0.500).

The final energy comes out at -7.8195 eV per atom. As for the formation energy from the elements: -0.310 eV per atom.

---

(22)
Here is a geometry-optimized ZrRe2AgPb structure from the Alexandria database. Energies are from GGA-PBEsol.

It has space group P4/mmm (No. 123), with a = 4.811 Å, b = 4.811 Å, c = 4.877 Å, α = 90.00°, β = 90.00° and γ = 90.00°. The asymmetric unit holds Zr at (0.000, 0.000, 0.000), Re at (0.000, 0.500, 0.500), Ag at (0.000, 0.000, 0.500) and Pb at (0.500, 0.500, 0.000).

The final energy comes out at -6.5686 eV per atom. As for the formation energy from the elements: 2.044 eV per atom.